# 1
## SrMgAg (GGA-PBE)

Data for a relaxed structure of SrMgAg.

abc: 7.571 7.571 7.571
angles: 90.00 90.00 90.00
Space group F-43m (No. 216)
One atom of each set of equivalent atoms:
Sr 0.000 0.000 0.000 [4 per cell]
Mg 0.250 0.250 0.750 [4 per cell]
Ag 0.250 0.250 0.250 [4 per cell]

- Total moment: 0.000 μB per atom
- Density: 3.4 g/cm3
- DFT total energy: -1.734 eV/atom
- Energy of formation from the pure elements: 0.31 eV per atom

# 2
## SrMg11Ag (GGA-PBE)

Data for a relaxed structure of SrMg11Ag.

abc: 5.760 14.754 7.866
angles: 90.00 110.03 90.00
Space group C2/m (No. 12)
One atom of each set of equivalent atoms:
Sr 0.000 0.000 0.000 [2 per cell]
Mg 0.000 0.000 0.500 [2 per cell]
Mg 0.102 0.393 0.223 [8 per cell]
Mg 0.178 0.175 0.359 [8 per cell]
Mg 0.250 0.250 0.000 [4 per cell]
Ag 0.000 0.500 0.500 [2 per cell]

- Total moment: 0.000 μB per atom
- Density: 2.4 g/cm3
- DFT total energy: -1.773 eV/atom
- Energy of formation from the pure elements: -0.07 eV per atom

# 3
## Sr6MgAg5 (GGA-PBE)

Data for a relaxed structure of Sr6MgAg5.

abc: 5.595 7.994 16.800
angles: 90.00 90.00 90.00
Space group Immm (No. 71)
One atom of each set of equivalent atoms:
Sr 0.000 0.239 0.000 [4 per cell]
Sr 0.000 0.255 0.329 [8 per cell]
Mg 0.000 0.000 0.500 [2 per cell]
Ag 0.000 0.000 0.167 [4 per cell]
Ag 0.000 0.500 0.156 [4 per cell]
Ag 0.000 0.500 0.500 [2 per cell]

- Total moment: 0.000 μB per atom
- Density: 4.8 g/cm3
- DFT total energy: -2.382 eV/atom
- Energy of formation from the pure elements: -0.22 eV per atom

# 4
## SrMg4Ag2 (GGA-PBE)

Data for a relaxed structure of SrMg4Ag2.

abc: 8.647 8.647 4.536
angles: 90.00 90.00 90.00
Space group P4_2/mnm (No. 136)
One atom of each set of equivalent atoms:
Sr 0.000 0.000 0.000 [2 per cell]
Mg 0.090 0.343 0.500 [8 per cell]
Ag 0.217 0.783 0.500 [4 per cell]

- Total moment: 0.000 μB per atom
- Density: 3.9 g/cm3
- DFT total energy: -2.185 eV/atom
- Energy of formation from the pure elements: -0.22 eV per atom

# 5
## SrMgAg2 (GGA-PBE)

Data for a relaxed structure of SrMgAg2.

abc: 3.863 5.134 10.147
angles: 90.00 90.00 90.00
Space group Imm2 (No. 44)
One atom of each set of equivalent atoms:
Sr 0.000 0.000 0.000 [2 per cell]
Mg 0.000 0.500 0.215 [2 per cell]
Ag 0.000 0.000 0.487 [2 per cell]
Ag 0.000 0.500 0.773 [2 per cell]

- Total moment: 0.000 μB per atom
- Density: 5.4 g/cm3
- DFT total energy: -2.332 eV/atom
- Energy of formation from the pure elements: -0.09 eV per atom

# 6
## Sr2MgAg4 (GGA-PBE)

Data for a relaxed structure of Sr2MgAg4.

abc: 5.765 14.843 4.847
angles: 90.00 90.00 90.00
Space group Cmmm (No. 65)
One atom of each set of equivalent atoms:
Sr 0.000 0.158 0.000 [4 per cell]
Mg 0.000 0.500 0.500 [2 per cell]
Ag 0.000 0.308 0.500 [4 per cell]
Ag 0.000 0.406 0.000 [4 per cell]

- Total moment: 0.000 μB per atom
- Density: 5.1 g/cm3
- DFT total energy: -2.463 eV/atom
- Energy of formation from the pure elements: -0.13 eV per atom